[1]
Computed, not measured: an optimized crystal structure of Sr2MgAl3Ga4 at the PBE level of DFT.

Summary:
As for the calculated formation energy: -0.356 eV/atom. Its total magnetic moment is 0.00 μB per formula unit. As for the total energy: -3.1851 eV/atom.

Geometry as POSCAR:
```
Sr2MgAl3Ga4
1.0
-2.435 3.725 -0.179
-0.852 -0.347 4.357
9.129 6.077 2.270
Sr Ga Mg Al
2 4 1 3
Direct
0.500 0.000 0.243 Sr
0.000 0.500 0.757 Sr
0.000 0.000 0.000 Ga
0.500 0.500 0.000 Ga
0.500 0.000 0.640 Ga
0.000 0.500 0.360 Ga
0.500 0.500 0.500 Mg
0.500 0.000 0.869 Al
0.000 0.500 0.131 Al
0.000 0.000 0.500 Al
```

[2]
Computed, not measured: an optimized crystal structure of InCoBiC2 at the PBE level of DFT.

Summary:
As for the calculated formation energy: 1.568 eV/atom. Its total magnetic moment is 0.00 μB per formula unit. As for the total energy: -4.8670 eV/atom.

Geometry as POSCAR:
```
InCoBiC2
1.0
3.944 0.000 0.000
0.000 5.624 0.000
0.000 0.000 3.944
In C Co Bi
1 2 1 1
Direct
0.500 0.500 0.500 In
0.500 0.000 0.000 C
0.000 0.000 0.500 C
0.000 0.000 0.000 Co
0.000 0.500 0.000 Bi
```

[3]
Computed, not measured: an optimized crystal structure of K2U3TlSe8 at the PBE level of DFT.

Summary:
Its total magnetic moment is 5.00 μB per formula unit. Its raw formation energy is -1.100 eV/atom. As for the total energy: -5.8360 eV/atom.

Geometry as POSCAR:
```
K2U3TlSe8
1.0
8.496 0.000 0.000
4.248 7.358 0.000
4.248 2.453 8.016
Se K U Tl
8 2 3 1
Direct
0.756 0.756 0.191 Se
0.242 0.698 0.817 Se
0.698 0.242 0.817 Se
0.298 0.756 0.191 Se
0.756 0.298 0.191 Se
0.242 0.242 0.817 Se
0.269 0.269 0.192 Se
0.728 0.728 0.816 Se
0.498 0.498 0.505 K
0.133 0.133 0.600 K
0.499 0.499 0.002 U
0.000 0.499 0.002 U
0.499 0.000 0.002 U
0.874 0.874 0.378 Tl
```